Density functional theory data (PBE) for LaNdHgAu after structural relaxation.

Geometry as CIF:
```
data_LaNdHgAu
_symmetry_space_group_name_H-M 'F -4 3 m'
_symmetry_Int_Tables_number 216
_symmetry_space_group_name_Hall 'F -4 2 3'
_cell_length_a 7.6264
_cell_length_b 7.6264
_cell_length_c 7.6264
_cell_angle_alpha 90.00
_cell_angle_beta 90.00
_cell_angle_gamma 90.00
loop_
_atom_site_label
_atom_site_type_symbol
_atom_site_fract_x
_atom_site_fract_y
_atom_site_fract_z
La1 La 0.0000 0.0000 0.0000
Nd1 Nd 0.0000 0.0000 0.5000
Hg1 Hg 0.2500 0.2500 0.2500
Au1 Au 0.2500 0.2500 0.7500
```

Summary:
- Fermi-level density of states (states/eV/cell) = 13.38
- polymorph energy (0 for the lowest one) (meV/atom) = 17
- calculated volume (A^3/atom) = 27.72

=====

Density functional theory data (PBE) for LaNiHgAu after structural relaxation.

Geometry as CIF:
```
data_LaNiHgAu
_symmetry_space_group_name_H-M 'F -4 3 m'
_symmetry_Int_Tables_number 216
_symmetry_space_group_name_Hall 'F -4 2 3'
_cell_length_a 7.0321
_cell_length_b 7.0321
_cell_length_c 7.0321
_cell_angle_alpha 90.00
_cell_angle_beta 90.00
_cell_angle_gamma 90.00
loop_
_atom_site_label
_atom_site_type_symbol
_atom_site_fract_x
_atom_site_fract_y
_atom_site_fract_z
La1 La 0.0000 0.0000 0.0000
Ni1 Ni 0.2500 0.2500 0.2500
Hg1 Hg 0.0000 0.0000 0.5000
Au1 Au 0.2500 0.2500 0.7500
```

Summary:
- Fermi-level density of states (states/eV/cell) = 11.45
- calculated volume (A^3/atom) = 21.73
- energy (eV per atom) = -3.90

=====

Density functional theory data (PBE) for La4HgAuO after structural relaxation.

Geometry as CIF:
```
data_La4HgAuO
_symmetry_space_group_name_H-M 'C m c m'
_symmetry_Int_Tables_number 63
_symmetry_space_group_name_Hall '-C 2c 2'
_cell_length_a 7.1008
_cell_length_b 15.6720
_cell_length_c 7.0894
_cell_angle_alpha 90.00
_cell_angle_beta 90.00
_cell_angle_gamma 90.00
loop_
_atom_site_label
_atom_site_type_symbol
_atom_site_fract_x
_atom_site_fract_y
_atom_site_fract_z
La1 La 0.0000 0.0636 0.2500
La2 La 0.0000 0.4241 0.2500
La3 La 0.2500 0.2500 0.0000
Hg1 Hg 0.0000 0.3821 0.7500
Au1 Au 0.0000 0.1217 0.7500
O1 O 0.0000 0.2554 0.2500
```

Summary:
- Fermi-level density of states (states/eV/cell) = 21.73
- calculated volume (A^3/atom) = 28.18
- raw formation energy (eV/atom) = -1.16

=====

Density functional theory data (PBE) for La2HgAuO5 after structural relaxation.

Geometry as CIF:
```
data_La2HgAuO5
_symmetry_space_group_name_H-M 'P 4/m b m'
_symmetry_Int_Tables_number 127
_symmetry_space_group_name_Hall '-P 4 2ab'
_cell_length_a 7.1200
_cell_length_b 7.1200
_cell_length_c 5.8337
_cell_angle_alpha 90.00
_cell_angle_beta 90.00
_cell_angle_gamma 90.00
loop_
_atom_site_label
_atom_site_type_symbol
_atom_site_fract_x
_atom_site_fract_y
_atom_site_fract_z
La1 La 0.1800 0.3200 0.0000
Hg1 Hg 0.0000 0.0000 0.5000
Au1 Au 0.0000 0.5000 0.5000
O1 O 0.0000 0.0000 0.0000
O2 O 0.1306 0.6306 0.2388
```

Summary:
- Fermi-level density of states (states/eV/cell) = 6.86
- calculated volume (A^3/atom) = 16.43
- raw formation energy (eV/atom) = -1.87

=====

Density functional theory data (PBE) for LaPaHgAu after structural relaxation.

Geometry as CIF:
```
data_LaPaHgAu
_symmetry_space_group_name_H-M 'F -4 3 m'
_symmetry_Int_Tables_number 216
_symmetry_space_group_name_Hall 'F -4 2 3'
_cell_length_a 7.5124
_cell_length_b 7.5124
_cell_length_c 7.5124
_cell_angle_alpha 90.00
_cell_angle_beta 90.00
_cell_angle_gamma 90.00
loop_
_atom_site_label
_atom_site_type_symbol
_atom_site_fract_x
_atom_site_fract_y
_atom_site_fract_z
La1 La 0.0000 0.0000 0.0000
Pa1 Pa 0.0000 0.0000 0.5000
Hg1 Hg 0.2500 0.2500 0.2500
Au1 Au 0.2500 0.2500 0.7500
```

Summary:
- Fermi-level density of states (states/eV/cell) = 34.02
- calculated volume (A^3/atom) = 26.50
- energy (eV per atom) = -4.68

=====

Density functional theory data (PBE) for LaHgPdAu after structural relaxation.

Geometry as CIF:
```
data_LaHgPdAu
_symmetry_space_group_name_H-M 'C 1 m 1'
_symmetry_Int_Tables_number 8
_symmetry_space_group_name_Hall 'C -2y'
_cell_length_a 8.4063
_cell_length_b 4.8388
_cell_length_c 5.3494
_cell_angle_alpha 90.00
_cell_angle_beta 121.47
_cell_angle_gamma 90.00
loop_
_atom_site_label
_atom_site_type_symbol
_atom_site_fract_x
_atom_site_fract_y
_atom_site_fract_z
La1 La 0.0000 0.0000 0.0000
Hg1 Hg 0.4836 0.0000 0.4521
Pd1 Pd 0.2792 0.5000 0.3398
Au1 Au 0.2272 0.0000 0.6828
```

Summary:
- Fermi-level density of states (states/eV/cell) = 3.81
- calculated volume (A^3/atom) = 23.20
- energy (eV per atom) = -4.05